Density functional theory data (GGA-PBE) for HfMoPb after structural relaxation.

CIF file:
```
data_HfMoPb
_space_group_name_H-M_alt 'C 1 m 1'
_space_group_IT_number 8
_cell_length_a 15.967
_cell_length_b 3.328
_cell_length_c 4.970
_cell_angle_alpha 90.00
_cell_angle_beta 97.67
_cell_angle_gamma 90.00
loop_
_space_group_symop_operation_xyz
'x,y,z'
'x,-y,z'
'x+1/2,y+1/2,z'
'x+1/2,-y+1/2,z'
loop_
_atom_site_label
_atom_site_fract_x
_atom_site_fract_y
_atom_site_fract_z
_atom_site_occupancy
Hf1 0.000 0.000 0.000 1
Hf2 0.141 0.000 0.613 1
Mo1 0.378 0.500 0.351 1
Mo2 0.498 0.000 0.490 1
Pb1 0.177 0.500 0.138 1
Pb2 0.334 0.000 0.821 1
```

Properties
Raw total energy in eV/cell: -95.19
ΔH_f (0 K) in meV/atom: 232
Excess energy over the best structure of this formula in the dataset in meV per atom: 101